# GaGeTe2I, relaxed, DFT GGA-PBEsol
data_GaGeTe2I
_cell_length_a 5.293
_cell_length_b 5.293
_cell_length_c 5.426
_cell_angle_alpha 90.00
_cell_angle_beta 90.00
_cell_angle_gamma 90.00
_space_group_name_H-M_alt 'P 4/m m m'
_space_group_IT_number 123
_space_group_name_Hall '-P 4 2'
loop_
_atom_site_label
_atom_site_type_symbol
_atom_site_fract_x
_atom_site_fract_y
_atom_site_fract_z
Ga1 Ga 0.000 0.000 0.000
Ge1 Ge 0.500 0.500 0.500
Te1 Te 0.000 0.500 0.000
I1 I 0.000 0.000 0.500
# - DOS(E_F): 0.894 states/eV per atom
# - Total moment: 0.00 μB/cell
# - Raw formation energy: 2.150 eV/f.u.
# - DFT total energy: -2.9896 eV/atom